(1)
A plane-wave DFT calculation with GGA-PBE was carried out for a geometry-optimized Sr2TcCBr structure.

Cell lengths 5.812, 3.957, 5.812 Å; angles 90.00, 90.00, 90.00 degrees
Last column: magnetic moment on the atom in μB.
Positions (direct):
Sr1 0.000 0.000 0.500  0.00
Sr2 0.500 0.000 0.000  0.01
C1 0.000 0.500 0.000  -0.01
Tc1 0.000 0.000 0.000  0.27
Br1 0.500 0.500 0.500  0.00

## Properties
Distance to the lowest polymorph of the same formula, meV per atom: 224
ΔE_f (raw), eV per atom: -0.017
E_tot, eV per atom: -4.942

(2)
A plane-wave DFT calculation with GGA-PBE was carried out for a geometry-optimized Rb3FeTe3 structure.

Cell lengths 7.594, 11.474, 14.656 Å; angles 90.00, 90.00, 109.33 degrees
Last column: magnetic moment on the atom in μB.
Positions (direct):
Rb1 0.667 0.000 0.841  0.01
Rb2 0.833 0.000 0.341  0.01
Rb3 0.167 0.000 0.659  0.01
Rb4 0.333 0.000 0.159  0.01
Rb5 0.996 0.650 0.371  0.01
Rb6 0.504 0.350 0.871  0.01
Rb7 0.846 0.350 0.129  0.01
Rb8 0.654 0.650 0.629  0.01
Rb9 0.004 0.350 0.629  0.01
Rb10 0.496 0.650 0.129  0.01
Rb11 0.154 0.650 0.871  0.01
Rb12 0.346 0.350 0.371  0.01
Fe1 0.418 0.835 0.500  3.28
Fe2 0.082 0.165 0.000  3.28
Fe3 0.582 0.165 0.500  3.28
Fe4 0.918 0.835 0.000  3.28
Te1 0.196 0.000 0.911  0.14
Te2 0.304 0.000 0.411  0.14
Te3 0.696 0.000 0.589  0.14
Te4 0.804 0.000 0.089  0.14
Te5 0.515 0.695 0.387  0.14
Te6 0.985 0.305 0.887  0.14
Te7 0.320 0.305 0.113  0.14
Te8 0.180 0.695 0.613  0.14
Te9 0.485 0.305 0.613  0.14
Te10 0.015 0.695 0.113  0.14
Te11 0.680 0.695 0.887  0.14
Te12 0.820 0.305 0.387  0.14

## Properties
ΔE_f (raw), eV per atom: -0.692
E_tot, eV per atom: -3.662

(3)
A plane-wave DFT calculation with GGA-PBE was carried out for a geometry-optimized V3CrSe8 structure.

Cell lengths 6.681, 6.680, 7.905 Å; angles 115.10, 90.00, 120.01 degrees
Last column: magnetic moment on the atom in μB.
Positions (direct):
V1 0.500 0.000 0.000  -0.15
V2 0.500 0.500 0.000  -0.15
V3 0.000 0.500 0.000  -0.15
Cr1 0.000 0.000 0.000  2.22
Se1 0.256 0.513 0.770  -0.01
Se2 0.744 0.487 0.230  -0.01
Se3 0.256 0.013 0.772  -0.02
Se4 0.758 0.013 0.772  -0.02
Se5 0.758 0.515 0.772  -0.02
Se6 0.242 0.485 0.228  -0.02
Se7 0.242 0.987 0.228  -0.02
Se8 0.744 0.987 0.228  -0.02

## Properties
ΔE_f (raw), eV per atom: -0.636
E_tot, eV per atom: -6.041

(4)
A plane-wave DFT calculation with GGA-PBE was carried out for a geometry-optimized TbIn2Pb structure.

Cell lengths 6.477, 6.627, 6.627 Å; angles 79.04, 60.74, 60.74 degrees
Positions (direct):
Tb1 0.750 0.195 0.305
Tb2 0.250 0.805 0.695
In1 0.196 0.304 0.804
In2 0.304 0.696 0.196
In3 0.804 0.696 0.196
In4 0.696 0.304 0.804
Pb1 0.250 0.204 0.296
Pb2 0.750 0.796 0.704

## Properties
Formation energy from the elements, eV per atom: -0.312
E_tot, eV per atom: -3.766

Here are the calculated DOS at the Fermi energy numbers, same order: 0.502, 0.683, 0.709, 0.609 (states/eV/atom).